(1)
The following is a DFT calculation (PBE) of an optimized crystal structure of AcSm2Au.

```
8
Lattice="5.125 0.000 0.000 -2.562 6.201 0.000 0.000 0.000 8.151" Properties=species:S:1:pos:R:3 pbc="T T T"
Sm 2.563 1.830 3.776
Au 2.563 3.619 6.113
Ac 2.564 5.586 2.038
Au 0.001 2.582 2.038
Sm 0.000 4.371 7.852
Ac 0.000 0.615 6.113
Sm 0.000 4.371 4.375
Sm 2.563 1.830 0.299
```

Properties
SG: Cmcm, No. 63
Raw total energy (eV per formula unit): -18.36

---

(2)
The following is a DFT calculation (PBE) of an optimized crystal structure of AcSm2Au.

```
16
Lattice="-1.063 6.513 1.599 -6.614 -0.323 -3.081 -4.159 -2.947 9.236" Properties=species:S:1:pos:R:3 pbc="T T T"
Sm -1.791 1.927 0.443
Ac -2.044 4.891 3.652
Ac -6.729 0.008 6.009
Sm -5.264 3.668 5.458
Sm -4.931 0.738 -1.350
Sm -6.905 2.505 9.104
Au -7.385 1.628 0.206
Sm -3.433 0.764 4.088
Ac -9.792 -1.648 4.102
Au -3.743 -0.261 1.243
Ac -5.107 3.235 1.745
Sm -10.045 1.316 7.311
Sm -6.572 -0.425 2.295
Au -4.451 1.615 7.547
Au -8.093 3.504 6.510
Sm -8.403 2.479 3.666
```

Properties
SG: Pnma, No. 62
Raw total energy (eV per formula unit): -18.38

---

| no. | calculated volume (Å³ per atom) | energy relative to the lowest polymorph listed for this composition (meV per atom) | energy relative to the elements (eV/atom) |
| --- | --- | --- | --- |
| 1 | 32.382 | 4 | -0.3847 |
| 2 | 32.696 | 0 | -0.3884 |